Record 1
ScTaTc2 at its PBEsol-relaxed geometry. Source: the Alexandria database, functional SCAN.

a b c (Å): 6.3266 6.3266 6.3266
angles (deg): 90.00 90.00 90.00
Closest atoms and distances in Å follow each position.
Space group Fm-3m (No. 225)
Symmetry-distinct sites (fractional):
1 Sc 0.0000 0.0000 0.0000 [4 per cell]  8 Tc 2.74
2 Ta 0.0000 0.0000 0.5000 [4 per cell]  8 Tc 2.74
3 Tc 0.2500 0.2500 0.2500 [8 per cell]  4 Ta 2.74, 4 Sc 2.74

Magnetic moment   0.0 μB per cell
E_tot   -38.122 eV/atom
Volume   15.83 Å³ per atom
Relative energy among the computed polymorphs   4 meV per atom

=====

Record 2
ScTaTc2 at its PBEsol-relaxed geometry. Source: the Alexandria database, functional SCAN.

a b c (Å): 6.3138 6.3138 6.3138
angles (deg): 90.00 90.00 90.00
Closest atoms and distances in Å follow each position.
Space group F-43m (No. 216)
Symmetry-distinct sites (fractional):
1 Sc 0.0000 0.0000 0.0000 [4 per cell]  4 Tc 2.73, 4 Ta 2.73
2 Ta 0.2500 0.2500 0.7500 [4 per cell]  4 Tc 2.73, 4 Sc 2.73
3 Tc 0.0000 0.0000 0.5000 [4 per cell]  4 Ta 2.73, 4 Tc 2.73
4 Tc 0.2500 0.2500 0.2500 [4 per cell]  4 Tc 2.73, 4 Sc 2.73

Magnetic moment   0.0 μB per cell
E_tot   -37.819 eV/atom
Volume   15.73 Å³ per atom
Relative energy among the computed polymorphs   307 meV per atom

=====

Record 3
ScTaTc2 at its PBEsol-relaxed geometry. Source: the Alexandria database, functional SCAN.

a b c (Å): 3.1659 3.1659 6.3940
angles (deg): 90.00 90.00 90.00
Closest atoms and distances in Å follow each position.
Space group P4/mmm (No. 123)
Symmetry-distinct sites (fractional):
1 Sc 0.0000 0.0000 0.0000 [1 per cell]  8 Tc 2.80
2 Ta 0.0000 0.0000 0.5000 [1 per cell]  8 Tc 2.70
3 Tc 0.5000 0.5000 0.2631 [2 per cell]  4 Ta 2.70, 4 Sc 2.80

Magnetic moment   0.0 μB per cell
E_tot   -38.126 eV/atom
Volume   16.02 Å³ per atom
Relative energy among the computed polymorphs   0 meV per atom

=====

Record 4
Sc3TaTe at its PBEsol-relaxed geometry. Source: the Alexandria database, functional SCAN.

a b c (Å): 5.0618 5.0618 5.0618
angles (deg): 90.00 90.00 90.00
Closest atoms and distances in Å follow each position.
Space group Pm-3m (No. 221)
Symmetry-distinct sites (fractional):
1 Sc 0.0000 0.0000 0.5000 [3 per cell]  2 Ta 2.53
2 Ta 0.0000 0.0000 0.0000 [1 per cell]  6 Sc 2.53
3 Te 0.5000 0.5000 0.5000 [1 per cell]  12 Sc 3.58

Magnetic moment   0.0 μB per cell
E_tot   -28.834 eV/atom
Volume   25.94 Å³ per atom
Raw formation energy   0.476 eV/atom

=====

- Which of these has the lowest volume?
  number 2